No. 1
Compound: WC3
Source: Alexandria via LeMat-Bulk
Functional: PBE
Structure: relaxed

Structure (CIF):
```
data_WC3
_cell_length_a 5.242
_cell_length_b 5.242
_cell_length_c 5.242
_cell_angle_alpha 90.00
_cell_angle_beta 90.00
_cell_angle_gamma 90.00
_space_group_name_H-M_alt 'F m -3 m'
_space_group_IT_number 225
_space_group_name_Hall '-F 4 2 3'
loop_
_atom_site_label
_atom_site_type_symbol
_atom_site_fract_x
_atom_site_fract_y
_atom_site_fract_z
W1 W 0.000 0.000 0.000
C1 C 0.000 0.000 0.500
C2 C 0.250 0.250 0.250
```

Calculated values
energy of formation: 2.748 eV per atom
relative energy among the computed polymorphs: 1786 meV/atom

No. 2
Compound: WC3
Source: Alexandria via LeMat-Bulk
Functional: PBE
Structure: relaxed

Structure (CIF):
```
data_WC3
_cell_length_a 4.101
_cell_length_b 4.101
_cell_length_c 4.101
_cell_angle_alpha 90.00
_cell_angle_beta 90.00
_cell_angle_gamma 90.00
_space_group_name_H-M_alt 'P m -3 m'
_space_group_IT_number 221
_space_group_name_Hall '-P 4 2 3'
loop_
_atom_site_label
_atom_site_type_symbol
_atom_site_fract_x
_atom_site_fract_y
_atom_site_fract_z
W1 W 0.000 0.000 0.000
C1 C 0.000 0.000 0.500
```

Calculated values
energy of formation: 2.348 eV per atom
relative energy among the computed polymorphs: 1386 meV/atom

No. 3
Compound: WC
Source: Alexandria via LeMat-Bulk
Functional: PBE
Structure: relaxed

Structure (CIF):
```
data_WC
_cell_length_a 10.683
_cell_length_b 2.996
_cell_length_c 2.996
_cell_angle_alpha 90.00
_cell_angle_beta 105.94
_cell_angle_gamma 90.00
_space_group_name_H-M_alt 'C 1 2/m 1'
_space_group_IT_number 12
loop_
_space_group_symop_operation_xyz
'x,y,z'
'-x,-y,-z'
'-x,y,-z'
'x,-y,z'
'x+1/2,y+1/2,z'
'-x+1/2,-y+1/2,-z'
'-x+1/2,y+1/2,-z'
'x+1/2,-y+1/2,z'
loop_
_atom_site_label
_atom_site_type_symbol
_atom_site_fract_x
_atom_site_fract_y
_atom_site_fract_z
W1 W 0.125 0.000 0.374
C1 C 0.125 0.500 0.874
```

Calculated values
energy of formation: 0.606 eV per atom
relative energy among the computed polymorphs: 734 meV/atom

No. 4
Compound: W4C3
Source: Alexandria via LeMat-Bulk
Functional: PBE
Structure: relaxed

Structure (CIF):
```
data_W4C3
_cell_length_a 4.5126
_cell_length_b 4.5126
_cell_length_c 4.8512
_cell_angle_alpha 90.00
_cell_angle_beta 90.00
_cell_angle_gamma 120.00
_space_group_name_H-M_alt 'P 6/m m m'
_space_group_IT_number 191
_space_group_name_Hall '-P 6 2'
loop_
_atom_site_label
_atom_site_type_symbol
_atom_site_fract_x
_atom_site_fract_y
_atom_site_fract_z
W1 W 0.0000 0.0000 0.2420
W2 W 0.3333 0.6667 0.5000
C1 C 0.0000 0.5000 0.0000
```

Calculated values
energy of formation: 1.911 eV per atom
relative energy among the computed polymorphs: 1677 meV/atom

No. 5
Compound: W3C
Source: Alexandria via LeMat-Bulk
Functional: PBE
Structure: relaxed

Structure (CIF):
```
data_W3C
_cell_length_a 2.941
_cell_length_b 3.937
_cell_length_c 4.918
_cell_angle_alpha 90.00
_cell_angle_beta 90.00
_cell_angle_gamma 90.00
_space_group_name_H-M_alt 'P m m m'
_space_group_IT_number 47
loop_
_space_group_symop_operation_xyz
'x,y,z'
'-x,-y,-z'
'-x,-y,z'
'x,y,-z'
'x,-y,-z'
'-x,y,z'
'-x,y,-z'
'x,-y,z'
loop_
_atom_site_label
_atom_site_type_symbol
_atom_site_fract_x
_atom_site_fract_y
_atom_site_fract_z
W1 W 0.000 0.000 0.000
W2 W 0.500 0.500 0.256
C1 C 0.000 0.000 0.500
```

Calculated values
energy of formation: 1.234 eV per atom
relative energy among the computed polymorphs: 1091 meV/atom

No. 6
Compound: W4C3
Source: Alexandria via LeMat-Bulk
Functional: PBE
Structure: relaxed

Structure (CIF):
```
data_W4C3
_cell_length_a 4.325
_cell_length_b 4.325
_cell_length_c 4.325
_cell_angle_alpha 90.00
_cell_angle_beta 90.00
_cell_angle_gamma 90.00
_space_group_name_H-M_alt 'P m -3 m'
_space_group_IT_number 221
_space_group_name_Hall '-P 4 2 3'
loop_
_atom_site_label
_atom_site_type_symbol
_atom_site_fract_x
_atom_site_fract_y
_atom_site_fract_z
W1 W 0.000 0.000 0.000
W2 W 0.000 0.500 0.500
C1 C 0.000 0.000 0.500
```

Calculated values
energy of formation: 0.234 eV per atom
relative energy among the computed polymorphs: 0 meV/atom